Record 1
DFT (PBE-GGA) results for crystalline RbCd2Au3 at its relaxed geometry.

a = 11.6840 Å, b = 9.0643 Å, c = 6.0005 Å
α = 90.00°, β = 90.00°, γ = 90.00°
Last column: nearest neighbours and their distance in Å.
Space group Cmcm (No. 63)
Inequivalent atoms, fractional coordinates:
Rb 0.0000 0.1673 0.2500  9 Au 3.63-3.94
Cd 0.1956 0.5000 0.0000  6 Au 2.81-2.90, 2 Cd 3.00
Au 0.0000 0.3978 0.7500  2 Au 2.82, 4 Cd 2.89
Au 0.2006 0.2258 0.7500  4 Cd 2.81-2.90, 1 Au 2.82

Record 2
DFT (PBE-GGA) results for crystalline ScCoSnIr at its relaxed geometry.

- Distance to the lowest polymorph of the same formula: 0.000 eV/atom
- Magnetization: 0.255 μB per atom

a = 6.3704 Å, b = 6.3704 Å, c = 6.3704 Å
α = 90.00°, β = 90.00°, γ = 90.00°
Last column: nearest neighbours and their distance in Å.
Space group F-43m (No. 216)
Inequivalent atoms, fractional coordinates:
Sc 0.0000 0.0000 0.0000  4 Co 2.76, 4 Ir 2.76
Co 0.2500 0.2500 0.7500  4 Sn 2.76, 4 Sc 2.76
Sn 0.0000 0.0000 0.5000  4 Co 2.76, 4 Ir 2.76
Ir 0.2500 0.2500 0.2500  4 Sn 2.76, 4 Sc 2.76

Record 3
DFT (PBE-GGA) results for crystalline K2ZrMoS6 at its relaxed geometry.

- Magnetization: 0.001 μB per atom

a = 6.8585 Å, b = 6.8590 Å, c = 12.0644 Å
α = 90.00°, β = 124.61°, γ = 90.00°
Last column: nearest neighbours and their distance in Å.
Space group P2_1/c (No. 14)
Inequivalent atoms, fractional coordinates:
K 0.2466 0.0125 0.2501  8 S 3.20-3.52
Zr 0.5000 0.0000 0.0000  6 S 2.49-2.56
Mo 0.0000 0.0000 0.5000  6 S 2.35-2.48
S 0.1952 0.2226 0.9933  1 Mo 2.35, 1 Zr 2.55
S 0.2640 0.9996 0.7492  1 Mo 2.48, 1 Zr 2.49
S 0.2705 0.7014 0.9934  1 Mo 2.35, 1 Zr 2.56

E per entry: -2.363; -7.118; -5.527 eV per atom
Volume per entry: 635.50; 258.52; 467.12 Å³ per cell